(1)
A plane-wave DFT calculation with PBE-GGA was carried out for Ce3PmPr2N6 after structural relaxation.

The value obtained for the formation energy (no corrections) is -1444.6 meV per atom.

The space group is C2/m (No. 12) and the conventional cell measures 15.7431, 3.6096 and 7.2213 Å, with angles of 90.00, 103.32 and 90.00 degrees. The asymmetric unit holds Ce at (0.0000, 0.0000, 0.0000), Ce at (0.1660, 0.5000, 0.3338), Pm at (0.0000, 0.0000, 0.5000), Pr at (0.1663, 0.5000, 0.8327), N at (0.0045, 0.5000, 0.2444), N at (0.1615, 0.0000, 0.0947) and N at (0.1689, 0.0000, 0.5705).

---

(2)
A plane-wave DFT calculation with PBE-GGA was carried out for SrTlIr2 after structural relaxation.

Its formation energy is 61.0 kJ/mol of atoms.

The space group is R-3m (No. 166, hexagonal axes) and the conventional cell measures 3.2463, 3.2463 and 27.2968 Å, with angles of 90.00, 90.00 and 120.00 degrees. The asymmetric unit holds Sr at (0.0000, 0.0000, 0.0000), Tl at (0.0000, 0.0000, 0.5000) and Ir at (0.0000, 0.0000, 0.2444).